NaHoReO6 after structural relaxation. Source: the Alexandria database, functional PBE-GGA.

Values from the calculation:
Theoretical density: 5.853 g cm⁻³
Total magnetization: 1.1 μB/cell
Formation energy (no corrections): -1932 meV/atom
DOS at the Fermi energy: 5.71 states/eV per cell

Cell and atoms, written as CIF:
```
data_NaHoReO6
_chemical_formula_sum 'Na1 Ho1 Re1 O6'
_symmetry_space_group_name_H-M 'P 1'
_symmetry_Int_Tables_number 1
_cell_length_a 4.9430
_cell_length_b 5.5816
_cell_length_c 5.5816
_cell_angle_alpha 120.00
_cell_angle_beta 90.00
_cell_angle_gamma 90.00
loop_
_symmetry_equiv_pos_as_xyz
'x,y,z'
loop_
_atom_site_label
_atom_site_type_symbol
_atom_site_fract_x
_atom_site_fract_y
_atom_site_fract_z
O1 O 0.2837 0.7259 0.0135
O2 O 0.7163 0.9865 0.2741
O3 O 0.2837 0.2876 0.2741
O4 O 0.7163 0.7259 0.7124
O5 O 0.2837 0.9865 0.7124
O6 O 0.7163 0.2876 0.0135
Re1 Re 0.5000 0.0000 0.0000
Ho1 Ho 0.5000 0.6667 0.3333
Na1 Na 0.0000 0.3333 0.6667
```